ScTi2MnTl after structural relaxation. Source: Alexandria, functional GGA-PBE.

Geometry as CIF:
```
data_ScTi2MnTl
_chemical_formula_sum 'Sc1 Ti2 Mn1 Tl1'
_cell_length_a 4.5244
_cell_length_b 4.5244
_cell_length_c 4.9470
_cell_angle_alpha 90.00
_cell_angle_beta 90.00
_cell_angle_gamma 90.00
_space_group_name_H-M_alt 'P 1'
_space_group_IT_number 1
loop_
_space_group_symop_operation_xyz
'x,y,z'
loop_
_atom_site_label
_atom_site_type_symbol
_atom_site_fract_x
_atom_site_fract_y
_atom_site_fract_z
Mn1 Mn 0.0000 0.0000 0.0000
Ti1 Ti 0.5000 0.0000 0.0000
Ti2 Ti 0.0000 0.5000 0.0000
Sc1 Sc 0.0000 0.0000 0.5000
Tl1 Tl 0.5000 0.5000 0.5000
```

Values from the calculation:
Calculated volume (Å³ per atom): 20.25
SG: P4/mmm, No. 123
DFT formation energy (eV/atom): 0.26